No. 1
A plane-wave DFT calculation with GGA-PBE was carried out for a relaxed structure of Ga2IO2.

Calculated values
Energy above the most stable polymorph in this dataset (meV/atom): 597.8
Space group: P4/mbm
Energy relative to the elements, uncorrected (meV per atom): -145

Unit cell a=8.591 b=8.591 c=2.821 alpha=90.00 beta=90.00 gamma=90.00
Atoms (fractional coordinates):
I: 0.000 0.000 0.000
I: 0.500 0.500 0.000
O: 0.402 0.902 0.000
O: 0.902 0.598 0.000
O: 0.598 0.098 0.000
O: 0.098 0.402 0.000
Ga: 0.099 0.599 0.500
Ga: 0.599 0.901 0.500
Ga: 0.901 0.401 0.500
Ga: 0.401 0.099 0.500


No. 2
A plane-wave DFT calculation with GGA-PBE was carried out for a relaxed structure of GaIO.

Calculated values
Energy above the most stable polymorph in this dataset (meV/atom): 264.5
Space group: Cm
Energy relative to the elements, uncorrected (meV per atom): -789

Unit cell a=3.413 b=3.413 c=7.379 alpha=76.13 beta=76.13 gamma=60.04
Atoms (fractional coordinates):
I: 0.463 0.463 0.724
O: 0.948 0.948 0.286
Ga: 0.595 0.595 0.343


Repeat the first record exactly.
A plane-wave DFT calculation with GGA-PBE was carried out for a relaxed structure of Ga2IO2.

Calculated values
Energy above the most stable polymorph in this dataset (meV/atom): 597.8
Space group: P4/mbm
Energy relative to the elements, uncorrected (meV per atom): -145

Unit cell a=8.591 b=8.591 c=2.821 alpha=90.00 beta=90.00 gamma=90.00
Atoms (fractional coordinates):
I: 0.000 0.000 0.000
I: 0.500 0.500 0.000
O: 0.402 0.902 0.000
O: 0.902 0.598 0.000
O: 0.598 0.098 0.000
O: 0.098 0.402 0.000
Ga: 0.099 0.599 0.500
Ga: 0.599 0.901 0.500
Ga: 0.901 0.401 0.500
Ga: 0.401 0.099 0.500